[1]
This record from Alexandria via LeMat-Bulk describes an optimized crystal structure of OsPt2W. The functional is PBE.

Spin magnetization (Bohr magnetons per cell): 0.00
ΔE_f (meV/atom): -51.9
Relative energy among the computed polymorphs (kJ/mol of formula units): 23

abc: 3.8750 3.8750 4.0637
angles: 90.00 90.00 90.00
Space group P4/mmm (No. 123)
Unique sites:
1 Os 0.0000 0.0000 0.0000 [1 per cell]
2 Pt 0.0000 0.5000 0.5000 [2 per cell]
3 W 0.5000 0.5000 0.0000 [1 per cell]



[2]
This record from Alexandria via LeMat-Bulk describes an optimized crystal structure of Os2PtW. The functional is PBE.

Spin magnetization (Bohr magnetons per cell): 0.00
ΔE_f (meV/atom): 1301.0
Relative energy among the computed polymorphs (kJ/mol of formula units): 532

abc: 5.7318 5.7318 11.0151
angles: 90.00 90.00 90.00
Space group I-42d (No. 122)
Unique sites:
1 Os 0.2493 0.2500 0.1250 [8 per cell]
2 Pt 0.0000 0.0000 0.0000 [4 per cell]
3 W 0.0000 0.0000 0.5000 [4 per cell]



[3]
This record from Alexandria via LeMat-Bulk describes an optimized crystal structure of OsPtW2. The functional is PBE.

Spin magnetization (Bohr magnetons per cell): 0.00
ΔE_f (meV/atom): -104.6
Relative energy among the computed polymorphs (kJ/mol of formula units): 15

abc: 2.7900 3.9534 5.6005
angles: 90.00 90.00 90.00
Space group Pmmm (No. 47)
Unique sites:
1 Os 0.0000 0.0000 0.0000 [1 per cell]
2 Pt 0.0000 0.0000 0.5000 [1 per cell]
3 W 0.5000 0.5000 0.2372 [2 per cell]



[4]
This record from Alexandria via LeMat-Bulk describes an optimized crystal structure of OsPt4W. The functional is PBE.

Spin magnetization (Bohr magnetons per cell): 3.03
ΔE_f (meV/atom): 470.9

abc: 7.2888 7.2888 7.2888
angles: 90.00 90.00 90.00
Space group F-43m (No. 216)
Unique sites:
1 Os 0.0000 0.0000 0.0000 [4 per cell]
2 Pt 0.1251 0.1251 0.6251 [16 per cell]
3 W 0.2500 0.2500 0.2500 [4 per cell]



[5]
This record from Alexandria via LeMat-Bulk describes an optimized crystal structure of OsPt2W. The functional is PBE.

Spin magnetization (Bohr magnetons per cell): 0.00
ΔE_f (meV/atom): 222.0
Relative energy among the computed polymorphs (kJ/mol of formula units): 128

abc: 6.3006 6.3006 6.3006
angles: 90.00 90.00 90.00
Space group F-43m (No. 216)
Unique sites:
1 Os 0.0000 0.0000 0.0000 [4 per cell]
2 Pt 0.0000 0.0000 0.5000 [4 per cell]
3 Pt 0.2500 0.2500 0.7500 [4 per cell]
4 W 0.2500 0.2500 0.2500 [4 per cell]



[6]
This record from Alexandria via LeMat-Bulk describes an optimized crystal structure of OsPt2W. The functional is PBE.

Spin magnetization (Bohr magnetons per cell): 0.00
ΔE_f (meV/atom): 13.0
Relative energy among the computed polymorphs (kJ/mol of formula units): 48

abc: 2.7587 4.0476 5.4708
angles: 90.00 90.00 90.00
Space group Pmmm (No. 47)
Unique sites:
1 Os 0.0000 0.0000 0.0000 [1 per cell]
2 Pt 0.5000 0.5000 0.2498 [2 per cell]
3 W 0.0000 0.0000 0.5000 [1 per cell]



[7]
This record from Alexandria via LeMat-Bulk describes an optimized crystal structure of OsPt2W. The functional is PBE.

Spin magnetization (Bohr magnetons per cell): 0.00
ΔE_f (meV/atom): 21.8
Relative energy among the computed polymorphs (kJ/mol of formula units): 51

abc: 5.4442 8.0919 2.7742
angles: 90.00 90.00 90.00
Space group Cmmm (No. 65)
Unique sites:
1 Os 0.0000 0.0000 0.0000 [2 per cell]
2 Pt 0.2500 0.2500 0.5000 [4 per cell]
3 W 0.0000 0.5000 0.0000 [2 per cell]



[8]
This record from Alexandria via LeMat-Bulk describes an optimized crystal structure of OsPt2W. The functional is PBE.

Spin magnetization (Bohr magnetons per cell): 0.00
ΔE_f (meV/atom): 85.4
Relative energy among the computed polymorphs (kJ/mol of formula units): 76

abc: 3.3354 3.3354 5.6143
angles: 90.00 90.00 90.00
Space group P4mm (No. 99)
Unique sites:
1 Os 0.0000 0.0000 0.0000 [1 per cell]
2 Pt 0.0000 0.0000 0.5037 [1 per cell]
3 Pt 0.5000 0.5000 0.2541 [1 per cell]
4 W 0.5000 0.5000 0.7641 [1 per cell]